Run a
{"formula": "CrBrOF2", "functional": "PBE+U", "state": "relaxed", "space_group": "P4/mmm, No. 123", "magnetic_moment_mub_per_fu": 4.651, "lattice_angstrom": [[4.759, 0.000, 0.000], [0.000, 4.759, 0.000], [0.000, 0.000, 3.750]], "species": ["F", "Br", "F", "Cr", "O"], "fractional_positions": [[0.500, 0.000, 0.000], [0.000, 0.000, 0.000], [0.000, 0.500, 0.000], [0.500, 0.500, 0.500], [0.000, 0.000, 0.500]]}

Run b
{"formula": "CrBrOF2", "functional": "PBE+U", "state": "relaxed", "space_group": "P4/mmm, No. 123", "magnetic_moment_mub_per_fu": 2.774, "lattice_angstrom": [[-3.033, -0.473, 2.380], [1.536, -3.323, 1.297], [2.088, 2.173, 3.095]], "species": ["F", "Br", "F", "Cr", "O"], "fractional_positions": [[0.000, 0.500, 0.000], [0.500, 0.500, 0.500], [0.500, 0.000, 0.000], [0.000, 0.000, 0.000], [0.000, 0.000, 0.500]]}

Of them, run b has the highest stability.

Run a
{"formula": "CrSe2BrF", "functional": "PBE+U", "state": "relaxed", "space_group": "P4/mmm, No. 123", "magnetic_moment_mub_per_fu": 4.253, "lattice_angstrom": [[4.307, 0.000, 0.000], [0.000, 4.307, 0.000], [0.000, 0.000, 6.453]], "species": ["Se", "Se", "F", "Cr", "Br"], "fractional_positions": [[0.000, 0.500, 0.000], [0.500, 0.000, 0.000], [0.000, 0.000, 0.000], [0.500, 0.500, 0.500], [0.000, 0.000, 0.500]]}

Run b
{"formula": "CrSe2BrF", "functional": "PBE+U", "state": "relaxed", "space_group": "P4/mmm, No. 123", "magnetic_moment_mub_per_fu": 0.358, "lattice_angstrom": [[4.976, 0.000, 0.000], [0.000, 4.976, 0.000], [0.000, 0.000, 5.026]], "species": ["F", "Cr", "Se", "Br", "Se"], "fractional_positions": [[0.500, 0.500, 0.500], [0.000, 0.000, 0.000], [0.500, 0.000, 0.000], [0.000, 0.000, 0.500], [0.000, 0.500, 0.000]]}

Of them, run b has the highest stability.